# PBE CrFeH, relaxed
data_CrFeH
_cell_length_a 2.563
_cell_length_b 4.466
_cell_length_c 4.865
_cell_angle_alpha 62.84
_cell_angle_beta 74.73
_cell_angle_gamma 90.02
_symmetry_space_group_name_H-M 'P 1'
_symmetry_Int_Tables_number 1
_symmetry_space_group_name_Hall 'P 1'
loop_
_atom_site_label
_atom_site_fract_x
_atom_site_fract_y
_atom_site_fract_z
Cr1 0.387 0.054 0.726
Cr2 0.613 0.946 0.274
Fe1 0.119 0.452 0.262
Fe2 0.881 0.548 0.738
H1 0.750 0.740 0.000
H2 0.250 0.260 0.000
# Density: 7.6 Mg/m³
# Crystal system: monoclinic
# Space-group type: C2/m (12)
# Magnetic moment: 0.000 μB per atom
# Total energy: -7.152 eV per atom


# PBE RuICl2, relaxed
data_RuICl2
_cell_length_a 4.926
_cell_length_b 4.926
_cell_length_c 4.926
_cell_angle_alpha 60.00
_cell_angle_beta 60.00
_cell_angle_gamma 60.00
_symmetry_space_group_name_H-M 'P 1'
_symmetry_Int_Tables_number 1
_symmetry_space_group_name_Hall 'P 1'
loop_
_atom_site_label
_atom_site_fract_x
_atom_site_fract_y
_atom_site_fract_z
I1 0.500 0.500 0.500
Ru1 0.000 0.000 0.000
Cl1 0.250 0.250 0.250
Cl2 0.750 0.750 0.750
# Density: 5.9 Mg/m³
# Crystal system: cubic
# Uncorrected formation energy: 105 kJ per mole of atoms
# Space-group type: Fm-3m (225)
# Magnetic moment: 0.000 μB per atom


# PBE CuAgPbO4, relaxed
data_CuAgPbO4
_cell_length_a 5.757
_cell_length_b 6.779
_cell_length_c 6.621
_cell_angle_alpha 119.23
_cell_angle_beta 90.00
_cell_angle_gamma 115.13
_symmetry_space_group_name_H-M 'P 1'
_symmetry_Int_Tables_number 1
_symmetry_space_group_name_Hall 'P 1'
loop_
_atom_site_label
_atom_site_fract_x
_atom_site_fract_y
_atom_site_fract_z
Cu1 0.500 0.500 0.500
Cu2 0.000 0.500 0.500
Ag1 0.816 0.632 0.066
Ag2 0.184 0.368 0.934
Pb1 0.500 0.000 0.500
Pb2 0.500 0.000 0.000
O1 0.728 0.456 0.664
O2 0.241 0.972 0.236
O3 0.731 0.972 0.236
O4 0.728 0.456 0.292
O5 0.272 0.544 0.708
O6 0.759 0.028 0.764
O7 0.269 0.028 0.764
O8 0.272 0.544 0.336
# Density: 7.5 Mg/m³
# Crystal system: orthorhombic
# Uncorrected formation energy: -49 kJ per mole of atoms
# Space-group type: Imma (74)
# Magnetic moment: 0.000 μB per atom


# PBE RbZrTe2S, relaxed
data_RbZrTe2S
_cell_length_a 5.758
_cell_length_b 5.758
_cell_length_c 5.051
_cell_angle_alpha 90.00
_cell_angle_beta 90.00
_cell_angle_gamma 90.00
_symmetry_space_group_name_H-M 'P 1'
_symmetry_Int_Tables_number 1
_symmetry_space_group_name_Hall 'P 1'
loop_
_atom_site_label
_atom_site_fract_x
_atom_site_fract_y
_atom_site_fract_z
S1 0.000 0.000 0.500
Te1 0.000 0.500 0.000
Te2 0.500 0.000 0.000
Rb1 0.500 0.500 0.500
Zr1 0.000 0.000 0.000
# Density: 4.6 Mg/m³
# Crystal system: tetragonal
# Uncorrected formation energy: -85 kJ per mole of atoms
# Space-group type: P4/mmm (123)
# Magnetic moment: 0.000 μB per atom


# PBE Sr2CdPb, relaxed
data_Sr2CdPb
_cell_length_a 5.783
_cell_length_b 5.783
_cell_length_c 5.783
_cell_angle_alpha 60.00
_cell_angle_beta 60.00
_cell_angle_gamma 60.00
_symmetry_space_group_name_H-M 'P 1'
_symmetry_Int_Tables_number 1
_symmetry_space_group_name_Hall 'P 1'
loop_
_atom_site_label
_atom_site_fract_x
_atom_site_fract_y
_atom_site_fract_z
Pb1 0.500 0.500 0.500
Sr1 0.250 0.250 0.250
Sr2 0.750 0.750 0.750
Cd1 0.000 0.000 0.000
# Density: 6.0 Mg/m³
# ΔE_f: -502.8 meV per atom
# Crystal system: cubic
# Space-group type: Fm-3m (225)
# Magnetic moment: 0.000 μB per atom


# PBE CdGaRu3, relaxed
data_CdGaRu3
_cell_length_a 4.876
_cell_length_b 4.876
_cell_length_c 4.876
_cell_angle_alpha 90.00
_cell_angle_beta 90.00
_cell_angle_gamma 90.00
_symmetry_space_group_name_H-M 'P 1'
_symmetry_Int_Tables_number 1
_symmetry_space_group_name_Hall 'P 1'
loop_
_atom_site_label
_atom_site_fract_x
_atom_site_fract_y
_atom_site_fract_z
Ru1 0.000 0.500 0.000
Ru2 0.000 0.000 0.500
Ru3 0.500 0.000 0.000
Ga1 0.500 0.500 0.500
Cd1 0.000 0.000 0.000
# Density: 7.0 Mg/m³
# ΔE_f: 2132.4 meV per atom
# Crystal system: cubic
# Space-group type: Pm-3m (221)
# Magnetic moment: 1.003 μB per atom


# PBE LiPrErRh, relaxed
data_LiPrErRh
_cell_length_a 5.019
_cell_length_b 5.019
_cell_length_c 5.019
_cell_angle_alpha 60.00
_cell_angle_beta 60.00
_cell_angle_gamma 60.00
_symmetry_space_group_name_H-M 'P 1'
_symmetry_Int_Tables_number 1
_symmetry_space_group_name_Hall 'P 1'
loop_
_atom_site_label
_atom_site_fract_x
_atom_site_fract_y
_atom_site_fract_z
Pr1 0.250 0.250 0.250
Li1 0.000 0.000 0.000
Rh1 0.500 0.500 0.500
Er1 0.750 0.750 0.750
# Density: 7.8 Mg/m³
# ΔE_f: -406.8 meV per atom
# Crystal system: cubic
# Space-group type: F-43m (216)
# Magnetic moment: 0.000 μB per atom


# PBE BH2IrRh, relaxed
data_BH2IrRh
_cell_length_a 3.212
_cell_length_b 4.406
_cell_length_c 3.212
_cell_angle_alpha 90.00
_cell_angle_beta 90.00
_cell_angle_gamma 90.00
_symmetry_space_group_name_H-M 'P 1'
_symmetry_Int_Tables_number 1
_symmetry_space_group_name_Hall 'P 1'
loop_
_atom_site_label
_atom_site_fract_x
_atom_site_fract_y
_atom_site_fract_z
H1 0.000 0.000 0.500
H2 0.500 0.000 0.000
B1 0.000 0.500 0.000
Ir1 0.500 0.500 0.500
Rh1 0.000 0.000 0.000
# Density: 11.3 Mg/m³
# Crystal system: tetragonal
# Space-group type: P4/mmm (123)
# Magnetic moment: 0.000 μB per atom
# Total energy: -5.516 eV per atom


Q: The highest magnetic moment belongs to which entry?
A: CdGaRu3